{"formula": "Ce2Al3Ga2", "functional": "GGA-PBE", "state": "relaxed", "lattice": [[5.293, -2.177, 0.000], [5.293, 2.177, 0.000], [-2.433, 0.000, 6.358]], "species": ["Ce", "Ce", "Al", "Al", "Al", "Ga", "Ga"], "fractional_positions": [[0.146, 0.146, 0.280], [0.854, 0.854, 0.720], [0.403, 0.403, 0.075], [0.500, 0.500, 0.500], [0.597, 0.597, 0.925], [0.156, 0.156, 0.754], [0.844, 0.844, 0.246]], "volume_a3_per_atom": 20.94, "rho_g_cm3": 5.7, "total_energy_ev_per_atom": -4.619, "de_polymorph_mev_per_atom": 0}

***

{"formula": "TiNbZn2Ni2", "functional": "GGA-PBE", "state": "relaxed", "lattice": [[4.302, 0.000, 0.000], [-2.151, 3.725, 0.000], [0.000, 0.000, 5.166]], "species": ["Ti", "Nb", "Zn", "Zn", "Ni", "Ni"], "fractional_positions": [[0.000, 0.000, 0.000], [0.000, 0.000, 0.500], [0.333, 0.667, 0.242], [0.667, 0.333, 0.758], [0.333, 0.667, 0.746], [0.667, 0.333, 0.254]], "volume_a3_per_atom": 13.80, "rho_g_cm3": 7.8, "total_energy_ev_per_atom": -5.624}